# Sc2V2ZnCo5 PBE relaxed
data_Sc2V2ZnCo5
_chemical_formula_sum 'Sc4 V4 Zn2 Co10'
_cell_length_a 9.614
_cell_length_b 9.614
_cell_length_c 2.979
_cell_angle_alpha 90.00
_cell_angle_beta 90.00
_cell_angle_gamma 90.00
_space_group_name_H-M_alt 'P 4/m b m'
_space_group_IT_number 127
_space_group_name_Hall '-P 4 2ab'
loop_
_atom_site_label
_atom_site_type_symbol
_atom_site_fract_x
_atom_site_fract_y
_atom_site_fract_z
_atom_site_occupancy
Sc1 Sc 0.172 0.328 0.000 1
V1 V 0.135 0.635 0.000 1
Zn1 Zn 0.000 0.000 0.000 1
Co1 Co 0.000 0.500 0.500 1
Co2 Co 0.054 0.798 0.500 1
# calculated formation energy: -43.2 meV per atom
# spin magnetization: 0.38 μB/f.u.

=====

# Sc2CoW PBE relaxed
data_Sc2CoW
_chemical_formula_sum 'Sc4 Co2 W2'
_cell_length_a 5.715
_cell_length_b 8.633
_cell_length_c 2.892
_cell_angle_alpha 90.00
_cell_angle_beta 108.68
_cell_angle_gamma 90.00
_space_group_name_H-M_alt 'C 1 2/m 1'
_space_group_IT_number 12
_space_group_name_Hall '-C 2y'
loop_
_atom_site_label
_atom_site_type_symbol
_atom_site_fract_x
_atom_site_fract_y
_atom_site_fract_z
_atom_site_occupancy
Sc1 Sc 0.250 0.250 0.000 1
Co1 Co 0.000 0.000 0.500 1
W1 W 0.000 0.500 0.500 1
# calculated formation energy: 279.0 meV per atom
# spin magnetization: 0.00 μB/f.u.
# offset from the most stable computed form: 255 meV/atom

=====

# Sc2CoW PBE relaxed
data_Sc2CoW
_chemical_formula_sum 'Sc6 Co3 W3'
_cell_length_a 2.9540
_cell_length_b 2.9540
_cell_length_c 28.0486
_cell_angle_alpha 90.00
_cell_angle_beta 90.00
_cell_angle_gamma 120.00
_space_group_name_H-M_alt 'R -3 m'
_space_group_IT_number 166
_space_group_name_Hall '-R 3 2"'
loop_
_atom_site_label
_atom_site_type_symbol
_atom_site_fract_x
_atom_site_fract_y
_atom_site_fract_z
_atom_site_occupancy
Sc1 Sc 0.0000 0.0000 0.0976 1
Co1 Co 0.0000 0.0000 0.5000 1
W1 W 0.0000 0.0000 0.0000 1
# calculated formation energy: 473.3 meV per atom
# spin magnetization: 0.07 μB/f.u.
# offset from the most stable computed form: 449 meV/atom

=====

# Sc2CoW PBE relaxed
data_Sc2CoW
_chemical_formula_sum 'Sc2 Co1 W1'
_cell_length_a 2.938
_cell_length_b 2.941
_cell_length_c 7.808
_cell_angle_alpha 90.00
_cell_angle_beta 90.07
_cell_angle_gamma 90.00
_space_group_name_H-M_alt 'P 1 2/m 1'
_space_group_IT_number 10
_space_group_name_Hall '-P 2y'
loop_
_atom_site_label
_atom_site_type_symbol
_atom_site_fract_x
_atom_site_fract_y
_atom_site_fract_z
_atom_site_occupancy
Sc1 Sc 0.000 0.000 0.211 1
Co1 Co 0.500 0.500 0.000 1
W1 W 0.500 0.500 0.500 1
# calculated formation energy: 54.4 meV per atom
# spin magnetization: 0.00 μB/f.u.
# offset from the most stable computed form: 30 meV/atom

=====

# Sc2CoW PBE relaxed
data_Sc2CoW
_chemical_formula_sum 'Sc4 Co2 W2'
_cell_length_a 3.153
_cell_length_b 4.731
_cell_length_c 9.042
_cell_angle_alpha 90.00
_cell_angle_beta 90.00
_cell_angle_gamma 90.00
_space_group_name_H-M_alt 'I m m m'
_space_group_IT_number 71
_space_group_name_Hall '-I 2 2'
loop_
_atom_site_label
_atom_site_type_symbol
_atom_site_fract_x
_atom_site_fract_y
_atom_site_fract_z
_atom_site_occupancy
Sc1 Sc 0.000 0.000 0.217 1
Co1 Co 0.000 0.500 0.500 1
W1 W 0.000 0.500 0.000 1
# calculated formation energy: 207.0 meV per atom
# spin magnetization: 1.08 μB/f.u.
# offset from the most stable computed form: 183 meV/atom

=====

# Sc2CoW PBE relaxed
data_Sc2CoW
_chemical_formula_sum 'Sc2 Co1 W1'
_cell_length_a 3.247
_cell_length_b 4.308
_cell_length_c 4.809
_cell_angle_alpha 90.00
_cell_angle_beta 90.00
_cell_angle_gamma 90.00
_space_group_name_H-M_alt 'P m m m'
_space_group_IT_number 47
_space_group_name_Hall '-P 2 2'
loop_
_atom_site_label
_atom_site_type_symbol
_atom_site_fract_x
_atom_site_fract_y
_atom_site_fract_z
_atom_site_occupancy
Sc1 Sc 0.000 0.000 0.000 1
Sc2 Sc 0.500 0.000 0.500 1
Co1 Co 0.000 0.500 0.500 1
W1 W 0.500 0.500 0.000 1
# calculated formation energy: 290.6 meV per atom
# spin magnetization: 0.44 μB/f.u.
# offset from the most stable computed form: 267 meV/atom

=====

# ScCoW2 PBE relaxed
data_ScCoW2
_chemical_formula_sum 'Sc2 Co2 W4'
_cell_length_a 3.528
_cell_length_b 4.274
_cell_length_c 8.311
_cell_angle_alpha 90.00
_cell_angle_beta 90.00
_cell_angle_gamma 90.00
_space_group_name_H-M_alt 'C m m 2'
_space_group_IT_number 35
_space_group_name_Hall 'C 2 -2'
loop_
_atom_site_label
_atom_site_type_symbol
_atom_site_fract_x
_atom_site_fract_y
_atom_site_fract_z
_atom_site_occupancy
Sc1 Sc 0.000 0.000 0.000 1
Co1 Co 0.000 0.500 0.769 1
W1 W 0.000 0.000 0.561 1
W2 W 0.000 0.500 0.292 1
# calculated formation energy: 132.9 meV per atom
# spin magnetization: 0.00 μB/f.u.
# offset from the most stable computed form: 38 meV/atom

=====

# ScCoW2 PBE relaxed
data_ScCoW2
_chemical_formula_sum 'Sc2 Co2 W4'
_cell_length_a 3.751
_cell_length_b 3.751
_cell_length_c 9.047
_cell_angle_alpha 90.00
_cell_angle_beta 90.00
_cell_angle_gamma 90.00
_space_group_name_H-M_alt 'I 4/m m m'
_space_group_IT_number 139
_space_group_name_Hall '-I 4 2'
loop_
_atom_site_label
_atom_site_type_symbol
_atom_site_fract_x
_atom_site_fract_y
_atom_site_fract_z
_atom_site_occupancy
Sc1 Sc 0.000 0.000 0.000 1
Co1 Co 0.000 0.000 0.500 1
W1 W 0.000 0.500 0.250 1
# calculated formation energy: 219.8 meV per atom
# spin magnetization: 0.00 μB/f.u.
# offset from the most stable computed form: 125 meV/atom